Density functional theory data (PBE with a Hubbard U) for crystalline Na2VBAsO7 at its relaxed geometry.

Structure (POSCAR):
```
Na2VBAsO7
1.0
5.5994 0.0000 0.0000
0.0000 6.5796 0.0000
-0.6775 0.0000 9.3835
Na V B As O
4 2 2 2 14
direct
0.2388 0.0092 0.3002 Na
0.2388 0.4908 0.3002 Na
0.7612 0.5092 0.6998 Na
0.7612 0.9908 0.6998 Na
0.2159 0.7500 0.8318 V
0.7841 0.2500 0.1682 V
0.2735 0.7500 0.5808 B
0.7265 0.2500 0.4192 B
0.2768 0.2500 0.9428 As
0.7232 0.7500 0.0572 As
0.0507 0.7500 0.6470 O
0.1288 0.2500 0.0949 O
0.1914 0.0450 0.8364 O
0.1914 0.4550 0.8364 O
0.3086 0.7500 0.4450 O
0.4166 0.7500 0.0231 O
0.4548 0.7500 0.6982 O
0.5452 0.2500 0.3018 O
0.5834 0.2500 0.9769 O
0.6914 0.2500 0.5550 O
0.8086 0.5450 0.1636 O
0.8086 0.9550 0.1636 O
0.8712 0.7500 0.9051 O
0.9493 0.2500 0.3530 O
```

Calculated values
- Magnetization: 0.089 μB per atom
- E_tot: -156.1 eV per cell